Model A:
NaTlOF2: relaxed, GGA-PBE.

Unit cell a=4.207 b=4.207 c=4.436 alpha=90.00 beta=90.00 gamma=90.00
Fractional coordinates of all 5 atoms:
Na  0.000  0.000  0.000
Tl  0.500  0.500  0.500
O  0.000  0.000  0.500
F  0.000  0.500  0.000
F  0.500  0.000  0.000

The mass density comes out at 5.951 g/cm3. The size of the total moment comes out at 0.3675 μB per atom. As for the space-group type: No. 123.

Model B:
NaTlOF2: relaxed, GGA-PBE.

Unit cell a=4.604 b=4.604 c=4.094 alpha=90.00 beta=90.00 gamma=90.00
Fractional coordinates of all 5 atoms:
Na  0.000  0.000  0.000
Tl  0.500  0.500  0.500
O  0.500  0.500  0.000
F  0.000  0.500  0.500
F  0.500  0.000  0.500

The mass density comes out at 5.384 g/cm3. The size of the total moment comes out at 0.0000 μB per atom. As for the space-group type: No. 123.

The computed energies, referenced to the most stable structure and given in kJ/mol of atoms, are model A 42.8; model B 0.0.

Model A:
Na2OsF2: relaxed, GGA-PBE.

Unit cell a=7.204 b=7.204 c=2.626 alpha=90.00 beta=90.00 gamma=90.00
Fractional coordinates of all 10 atoms:
Na  0.140  0.360  0.000
Na  0.360  0.860  0.000
Na  0.640  0.140  0.000
Na  0.860  0.640  0.000
Os  0.000  0.000  0.500
Os  0.500  0.500  0.500
F  0.145  0.645  0.500
F  0.355  0.145  0.500
F  0.645  0.855  0.500
F  0.855  0.355  0.500

The mass density comes out at 6.682 g/cm3. The size of the total moment comes out at 0.3694 μB per atom. As for the space-group type: No. 127.

Model B:
Na2OsF2: relaxed, GGA-PBE.

Unit cell a=6.964 b=6.964 c=6.964 alpha=145.44 beta=145.44 gamma=49.68
Fractional coordinates of all 5 atoms:
Na  0.250  0.750  0.500
Na  0.750  0.250  0.500
Os  0.000  0.000  0.000
F  0.310  0.310  0.000
F  0.690  0.690  0.000

The mass density comes out at 4.209 g/cm3. The size of the total moment comes out at 0.8000 μB per atom. As for the space-group type: No. 139.

The computed energies, referenced to the most stable structure and given in kJ/mol of atoms, are model A 0.0; model B 26.8.

Model A:
NaOsF3: relaxed, GGA-PBE.

Unit cell a=4.062 b=4.062 c=4.062 alpha=90.00 beta=90.00 gamma=90.00
Fractional coordinates of all 5 atoms:
Na  0.000  0.000  0.000
Os  0.500  0.500  0.500
F  0.000  0.000  0.500
F  0.000  0.500  0.000
F  0.500  0.000  0.000

The mass density comes out at 6.697 g/cm3. The size of the total moment comes out at 0.8424 μB per atom. As for the space-group type: No. 221.

Model B:
NaOsF3: relaxed, GGA-PBE.

Unit cell a=4.227 b=4.227 c=4.227 alpha=90.00 beta=90.00 gamma=90.00
Fractional coordinates of all 5 atoms:
Na  0.000  0.000  0.000
Os  0.500  0.500  0.500
F  0.000  0.500  0.500
F  0.500  0.000  0.500
F  0.500  0.500  0.000

The mass density comes out at 5.939 g/cm3. The size of the total moment comes out at 0.0000 μB per atom. As for the space-group type: No. 221.

The computed energies, referenced to the most stable structure and given in kJ/mol of atoms, are model A 53.7; model B 0.0.

Model A:
NaOs2F: relaxed, GGA-PBE.

Unit cell a=14.094 b=14.094 c=14.094 alpha=166.06 beta=166.06 gamma=19.76
Fractional coordinates of all 8 atoms:
Na  0.000  0.000  0.000
Na  0.750  0.250  0.500
Os  0.124  0.625  0.999
Os  0.375  0.374  0.499
Os  0.626  0.125  0.001
Os  0.875  0.876  0.501
F  0.250  0.750  0.500
F  0.500  0.500  0.000

The mass density comes out at 8.639 g/cm3. The size of the total moment comes out at 0.0000 μB per atom. As for the space-group type: No. 122.

Model B:
NaOs2F: relaxed, GGA-PBE.

Unit cell a=4.435 b=4.435 c=4.435 alpha=60.00 beta=60.00 gamma=60.00
Fractional coordinates of all 4 atoms:
Na  0.000  0.000  0.000
Os  0.250  0.250  0.250
Os  0.750  0.750  0.750
F  0.500  0.500  0.500

The mass density comes out at 11.376 g/cm3. The size of the total moment comes out at 1.0664 μB per atom. As for the space-group type: No. 225.

The computed energies, referenced to the most stable structure and given in kJ/mol of atoms, are model A 0.0; model B 160.3.

Model A:
NaP2F: relaxed, GGA-PBE.

Unit cell a=4.468 b=4.468 c=4.468 alpha=60.00 beta=60.00 gamma=60.00
Fractional coordinates of all 4 atoms:
Na  0.000  0.000  0.000
P  0.250  0.250  0.250
P  0.750  0.750  0.750
F  0.500  0.500  0.500

The mass density comes out at 2.736 g/cm3. The size of the total moment comes out at 0.0000 μB per atom. As for the space-group type: No. 225.

Model B:
NaP2F: relaxed, GGA-PBE.

Unit cell a=12.105 b=12.105 c=12.105 alpha=160.58 beta=160.58 gamma=27.60
Fractional coordinates of all 8 atoms:
Na  0.375  0.625  0.750
Na  0.625  0.375  0.250
P  0.000  0.000  0.000
P  0.000  0.000  0.500
P  0.000  0.500  0.000
P  0.500  0.000  0.500
F  0.125  0.875  0.250
F  0.875  0.125  0.750

The mass density comes out at 1.761 g/cm3. The size of the total moment comes out at 0.0000 μB per atom. As for the space-group type: No. 141.

The computed energies, referenced to the most stable structure and given in kJ/mol of atoms, are model A 69.7; model B 0.0.

Model A:
Na2PF: relaxed, GGA-PBE.

Unit cell a=6.003 b=6.003 c=6.003 alpha=114.13 beta=114.13 gamma=100.51
Fractional coordinates of all 8 atoms:
Na  0.033  0.125  0.408
Na  0.375  0.967  0.092
Na  0.717  0.625  0.592
Na  0.875  0.283  0.908
P  0.250  0.750  0.500
P  0.500  0.500  0.000
F  0.000  0.000  0.000
F  0.750  0.250  0.500

The mass density comes out at 1.949 g/cm3. The size of the total moment comes out at 0.0000 μB per atom. As for the space-group type: No. 122.

Model B:
Na2PF: relaxed, GGA-PBE.

Unit cell a=4.777 b=4.777 c=4.777 alpha=60.00 beta=60.00 gamma=60.00
Fractional coordinates of all 4 atoms:
Na  0.250  0.250  0.250
Na  0.750  0.750  0.750
P  0.000  0.000  0.000
F  0.500  0.500  0.500

The mass density comes out at 2.067 g/cm3. The size of the total moment comes out at 0.5000 μB per atom. As for the space-group type: No. 225.

The computed energies, referenced to the most stable structure and given in kJ/mol of atoms, are model A 0.0; model B 29.5.

Model A:
NaP2SF: relaxed, GGA-PBE.

Unit cell a=4.181 b=4.181 c=5.299 alpha=90.00 beta=90.00 gamma=90.00
Fractional coordinates of all 5 atoms:
Na  0.000  0.000  0.000
P  0.000  0.500  0.500
P  0.500  0.000  0.500
S  0.500  0.500  0.000
F  0.500  0.500  0.500

The mass density comes out at 2.438 g/cm3. The size of the total moment comes out at 0.0000 μB per atom. As for the space-group type: No. 123.

Model B:
NaP2SF: relaxed, GGA-PBE.

Unit cell a=4.912 b=4.912 c=4.705 alpha=90.00 beta=90.00 gamma=90.00
Fractional coordinates of all 5 atoms:
Na  0.000  0.000  0.000
P  0.000  0.500  0.000
P  0.500  0.000  0.000
S  0.000  0.000  0.500
F  0.500  0.500  0.500

The mass density comes out at 1.989 g/cm3. The size of the total moment comes out at 0.0509 μB per atom. As for the space-group type: No. 123.

The computed energies, referenced to the most stable structure and given in kJ/mol of atoms, are model A 0.0; model B 88.8.

Model A:
Na2PaF8: relaxed, GGA-PBE.

Unit cell a=4.022 b=6.033 c=8.590 alpha=102.10 beta=95.86 gamma=109.40
Fractional coordinates of all 11 atoms:
Na  0.185  0.477  0.185
Na  0.815  0.523  0.815
Pa  0.000  0.000  0.500
F  0.041  0.166  0.307
F  0.214  0.376  0.627
F  0.412  0.629  0.977
F  0.416  0.893  0.358
F  0.584  0.107  0.642
F  0.588  0.371  0.023
F  0.786  0.624  0.373
F  0.959  0.834  0.693

The mass density comes out at 3.772 g/cm3. The size of the total moment comes out at 0.0911 μB per atom. As for the space-group type: No. 2.

Model B:
Na2PaF8: relaxed, GGA-PBE.

Unit cell a=7.509 b=7.509 c=5.530 alpha=106.16 beta=106.16 gamma=31.32
Fractional coordinates of all 11 atoms:
Na  0.187  0.187  0.233
Na  0.813  0.813  0.767
Pa  0.500  0.500  0.500
F  0.037  0.037  0.332
F  0.234  0.234  0.890
F  0.352  0.352  0.523
F  0.427  0.427  0.120
F  0.573  0.573  0.880
F  0.648  0.648  0.477
F  0.766  0.766  0.110
F  0.963  0.963  0.668

The mass density comes out at 4.591 g/cm3. The size of the total moment comes out at 0.0909 μB per atom. As for the space-group type: No. 12.

The computed energies, referenced to the most stable structure and given in kJ/mol of atoms, are model A 0.0; model B 3.9.

Model A:
NaPbF2: relaxed, GGA-PBE.

Unit cell a=6.430 b=6.430 c=6.430 alpha=126.37 beta=126.37 gamma=79.27
Fractional coordinates of all 8 atoms:
Na  0.000  0.000  0.000
Na  0.750  0.250  0.500
Pb  0.250  0.750  0.500
Pb  0.500  0.500  0.000
F  0.068  0.625  0.943
F  0.375  0.318  0.443
F  0.682  0.125  0.057
F  0.875  0.932  0.557

The mass density comes out at 5.345 g/cm3. The size of the total moment comes out at 0.1585 μB per atom. As for the space-group type: No. 122.

Model B:
NaPbF2: relaxed, GGA-PBE.

Unit cell a=4.604 b=4.604 c=4.604 alpha=60.00 beta=60.00 gamma=60.00
Fractional coordinates of all 4 atoms:
Na  0.000  0.000  0.000
Pb  0.500  0.500  0.500
F  0.250  0.250  0.250
F  0.750  0.750  0.750

The mass density comes out at 6.452 g/cm3. The size of the total moment comes out at 0.0003 μB per atom. As for the space-group type: No. 225.

The computed energies, referenced to the most stable structure and given in kJ/mol of atoms, are model A 0.0; model B 24.3.

Model A:
NaPbF6: relaxed, GGA-PBE.

Unit cell a=4.830 b=4.848 c=6.111 alpha=70.73 beta=72.44 gamma=69.20
Fractional coordinates of all 8 atoms:
Na  0.000  0.000  0.000
Pb  0.500  0.500  0.500
F  0.116  0.732  0.719
F  0.230  0.566  0.262
F  0.429  0.089  0.727
F  0.571  0.911  0.273
F  0.770  0.434  0.738
F  0.884  0.268  0.281

The mass density comes out at 4.628 g/cm3. The size of the total moment comes out at 0.1267 μB per atom. As for the space-group type: No. 2.

Model B:
NaPbF6: relaxed, GGA-PBE.

Unit cell a=5.401 b=5.401 c=7.733 alpha=90.00 beta=90.00 gamma=90.00
Fractional coordinates of all 16 atoms:
Na  0.000  0.000  0.000
Na  0.000  0.000  0.500
Pb  0.500  0.500  0.250
Pb  0.500  0.500  0.750
F  0.193  0.279  0.180
F  0.193  0.279  0.820
F  0.279  0.807  0.320
F  0.279  0.807  0.680
F  0.310  0.358  0.500
F  0.358  0.690  0.000
F  0.642  0.310  0.000
F  0.690  0.642  0.500
F  0.721  0.193  0.320
F  0.721  0.193  0.680
F  0.807  0.721  0.180
F  0.807  0.721  0.820

The mass density comes out at 5.067 g/cm3. The size of the total moment comes out at 0.1310 μB per atom. As for the space-group type: No. 84.

The computed energies, referenced to the most stable structure and given in kJ/mol of atoms, are model A 0.0; model B 0.7.

Model A:
NaPbF4: relaxed, GGA-PBE.

Unit cell a=6.347 b=5.383 c=6.582 alpha=90.00 beta=112.66 gamma=90.00
Fractional coordinates of all 12 atoms:
Na  0.000  0.000  0.000
Na  0.000  0.500  0.500
Pb  0.500  0.000  0.500
Pb  0.500  0.500  0.000
F  0.169  0.195  0.354
F  0.169  0.305  0.854
F  0.361  0.711  0.671
F  0.361  0.789  0.171
F  0.639  0.211  0.829
F  0.639  0.289  0.329
F  0.831  0.695  0.146
F  0.831  0.805  0.646

The mass density comes out at 4.899 g/cm3. The size of the total moment comes out at 0.0000 μB per atom. As for the space-group type: No. 14.

Model B:
NaPbF4: relaxed, GGA-PBE.

Unit cell a=3.964 b=3.964 c=5.566 alpha=90.00 beta=90.00 gamma=90.00
Fractional coordinates of all 6 atoms:
Na  0.000  0.000  0.000
Pb  0.500  0.500  0.500
F  0.000  0.500  0.264
F  0.000  0.500  0.736
F  0.500  0.000  0.264
F  0.500  0.000  0.736

The mass density comes out at 5.814 g/cm3. The size of the total moment comes out at 0.0000 μB per atom. As for the space-group type: No. 123.

The computed energies, referenced to the most stable structure and given in kJ/mol of atoms, are model A 1.6; model B 0.0.

Model A:
Na2PbF4: relaxed, GGA-PBE.

Unit cell a=6.960 b=6.960 c=6.960 alpha=119.75 beta=119.75 gamma=90.43
Fractional coordinates of all 14 atoms:
Na  0.000  0.000  0.000
Na  0.000  0.000  0.500
Na  0.000  0.500  0.000
Na  0.500  0.000  0.500
Pb  0.375  0.625  0.750
Pb  0.625  0.375  0.250
F  0.215  0.239  0.976
F  0.236  0.761  0.476
F  0.239  0.215  0.476
F  0.239  0.764  0.024
F  0.761  0.236  0.976
F  0.761  0.785  0.524
F  0.764  0.239  0.524
F  0.785  0.761  0.024

The mass density comes out at 4.568 g/cm3. The size of the total moment comes out at 0.0000 μB per atom. As for the space-group type: No. 141.

Model B:
Na2PbF4: relaxed, GGA-PBE.

Unit cell a=6.367 b=6.367 c=4.234 alpha=98.90 beta=98.90 gamma=39.80
Fractional coordinates of all 7 atoms:
Na  0.187  0.187  0.121
Na  0.813  0.813  0.879
Pb  0.500  0.500  0.500
F  0.121  0.121  0.579
F  0.369  0.369  0.946
F  0.631  0.631  0.054
F  0.879  0.879  0.421

The mass density comes out at 5.043 g/cm3. The size of the total moment comes out at 0.0000 μB per atom. As for the space-group type: No. 12.

The computed energies, referenced to the most stable structure and given in kJ/mol of atoms, are model A 0.0; model B 1.3.